Entry from Alexandria via LeMat-Bulk: crystalline ZrSbBr2 at its relaxed geometry (PBE).

magnetic moment	0.00	μB per atom
formation energy without anion corrections	-168	kJ/mol of formula units
N(E_F)	26.59	states/eV per cell
E above lowest polymorph	357	meV per atom

abc: 9.6665 9.6665 5.6617
angles: 90.00 90.00 90.00
Fractional coordinates of all 16 atoms:
Zr 0.0000 0.0000 0.0000
Zr 0.0000 0.5000 0.2500
Zr 0.5000 0.0000 0.7500
Zr 0.5000 0.5000 0.5000
Sb 0.0000 0.0000 0.5000
Sb 0.0000 0.5000 0.7500
Sb 0.5000 0.0000 0.2500
Sb 0.5000 0.5000 0.0000
Br 0.1149 0.2500 0.1250
Br 0.2500 0.6149 0.3750
Br 0.2500 0.8851 0.8750
Br 0.3851 0.2500 0.6250
Br 0.6149 0.7500 0.6250
Br 0.7500 0.1149 0.8750
Br 0.7500 0.3851 0.3750
Br 0.8851 0.7500 0.1250

Entry from Alexandria via LeMat-Bulk: crystalline ZrSbBr2 at its relaxed geometry (PBE).

magnetic moment	0.20	μB per atom
formation energy without anion corrections	-74	kJ/mol of formula units
N(E_F)	5.91	states/eV per cell
E above lowest polymorph	599	meV per atom

abc: 6.4499 10.0327 4.2949
angles: 90.00 131.09 90.00
Fractional coordinates of all 8 atoms:
Zr 0.0000 0.0000 0.0000
Zr 0.5000 0.5000 0.0000
Sb 0.0000 0.5000 0.0000
Sb 0.5000 0.0000 0.0000
Br 0.2500 0.2500 0.5000
Br 0.2500 0.7500 0.5000
Br 0.7500 0.2500 0.5000
Br 0.7500 0.7500 0.5000

Entry from Alexandria via LeMat-Bulk: crystalline ZrSbBr2 at its relaxed geometry (PBE).

magnetic moment	0.00	μB per atom
formation energy without anion corrections	-206	kJ/mol of formula units
N(E_F)	5.67	states/eV per cell
E above lowest polymorph	257	meV per atom

abc: 3.2568 5.1600 16.2166
angles: 90.00 90.00 90.00
Fractional coordinates of all 8 atoms:
Zr 0.0000 0.0000 0.0000
Zr 0.5000 0.5000 0.5000
Sb 0.0000 0.5000 0.6586
Sb 0.5000 0.0000 0.1586
Br 0.0000 0.0000 0.5175
Br 0.0000 0.5000 0.3666
Br 0.5000 0.0000 0.8666
Br 0.5000 0.5000 0.0175

Entry from Alexandria via LeMat-Bulk: crystalline ZrSbBr2 at its relaxed geometry (PBE).

magnetic moment	0.00	μB per atom
formation energy without anion corrections	-225	kJ/mol of formula units
N(E_F)	6.72	states/eV per cell
E above lowest polymorph	209	meV per atom

abc: 3.6043 3.6043 28.9328
angles: 90.00 90.00 120.00
Fractional coordinates of all 12 atoms:
Zr 0.0000 0.0000 0.0000
Zr 0.3333 0.6667 0.6667
Zr 0.6667 0.3333 0.3333
Sb 0.0000 0.0000 0.2586
Sb 0.3333 0.6667 0.9252
Sb 0.6667 0.3333 0.5919
Br 0.0000 0.0000 0.5149
Br 0.0000 0.0000 0.7302
Br 0.3333 0.6667 0.1816
Br 0.3333 0.6667 0.3968
Br 0.6667 0.3333 0.0635
Br 0.6667 0.3333 0.8482

Entry from Alexandria via LeMat-Bulk: crystalline Zr2Sb2Br at its relaxed geometry (PBE).

magnetic moment	0.00	μB per atom
formation energy without anion corrections	-322	kJ/mol of formula units
N(E_F)	3.53	states/eV per cell

abc: 7.9939 7.9939 3.8091
angles: 90.00 90.00 90.00
Fractional coordinates of all 10 atoms:
Zr 0.1482 0.3518 0.0000
Zr 0.3518 0.8518 0.0000
Zr 0.6482 0.1482 0.0000
Zr 0.8518 0.6482 0.0000
Sb 0.1427 0.6427 0.5000
Sb 0.3573 0.1427 0.5000
Sb 0.6427 0.8573 0.5000
Sb 0.8573 0.3573 0.5000
Br 0.0000 0.0000 0.0000
Br 0.5000 0.5000 0.0000

Entry from Alexandria via LeMat-Bulk: crystalline ZrSbBr at its relaxed geometry (PBE).

magnetic moment	0.00	μB per atom
formation energy without anion corrections	55	kJ/mol of formula units
N(E_F)	0.89	states/eV per cell
E above lowest polymorph	904	meV per atom

abc: 7.1306 7.1306 7.1306
angles: 90.00 90.00 90.00
Fractional coordinates of all 12 atoms:
Zr 0.0000 0.0000 0.0000
Zr 0.0000 0.5000 0.5000
Zr 0.5000 0.0000 0.5000
Zr 0.5000 0.5000 0.0000
Sb 0.2500 0.2500 0.7500
Sb 0.2500 0.7500 0.2500
Sb 0.7500 0.2500 0.2500
Sb 0.7500 0.7500 0.7500
Br 0.0000 0.0000 0.5000
Br 0.0000 0.5000 0.0000
Br 0.5000 0.0000 0.0000
Br 0.5000 0.5000 0.5000

Entry from Alexandria via LeMat-Bulk: crystalline ZrSb4Br at its relaxed geometry (PBE).

magnetic moment	0.01	μB per atom
formation energy without anion corrections	142	kJ/mol of formula units
N(E_F)	4.87	states/eV per cell

abc: 6.1699 6.1699 6.1699
angles: 60.00 60.00 60.00
Fractional coordinates of all 6 atoms:
Zr 0.0000 0.0000 0.0000
Sb 0.3749 0.3749 0.3749
Sb 0.3749 0.3749 0.8753
Sb 0.3749 0.8753 0.3749
Sb 0.8753 0.3749 0.3749
Br 0.7500 0.7500 0.7500

Entry from Alexandria via LeMat-Bulk: crystalline ZrSbBr3 at its relaxed geometry (PBE).

magnetic moment	0.59	μB per atom
formation energy without anion corrections	220	kJ/mol of formula units
N(E_F)	5.01	states/eV per cell
E above lowest polymorph	790	meV per atom

abc: 5.6806 5.6806 5.6806
angles: 90.00 90.00 90.00
Fractional coordinates of all 5 atoms:
Zr 0.0000 0.0000 0.0000
Sb 0.5000 0.5000 0.5000
Br 0.0000 0.5000 0.5000
Br 0.5000 0.0000 0.5000
Br 0.5000 0.5000 0.0000